AlBPbO4 | meta-GGA SCAN | PBEsol geometry

Cell lengths 6.9435, 5.7592, 8.0750 Å; angles 90.00, 90.00, 90.00 degrees
Last column: nearest neighbours and their distance in Å.
Element x y z (fractional)
Al 0.0000 0.0000 0.0000  6 O 1.84-2.00
Al 0.0000 0.5000 0.0000  6 O 1.84-2.00
Al 0.5000 0.0000 0.5000  6 O 1.84-2.00
Al 0.5000 0.5000 0.5000  6 O 1.84-2.00
B 0.2279 0.2500 0.2582  3 O 1.38-1.39
B 0.2721 0.7500 0.7582  3 O 1.38-1.39
B 0.7279 0.2500 0.2418  3 O 1.38-1.39
B 0.7721 0.7500 0.7418  3 O 1.38-1.39
Pb 0.0613 0.7500 0.3620  4 O 2.32-2.35
Pb 0.4387 0.2500 0.8620  4 O 2.32-2.35
Pb 0.5613 0.7500 0.1380  4 O 2.32-2.35
Pb 0.9387 0.2500 0.6380  4 O 2.32-2.35
O 0.1015 0.2500 0.8894  2 Al 1.84
O 0.1663 0.7500 0.9032  1 B 1.38
O 0.1725 0.0430 0.1848  1 B 1.39
O 0.1725 0.4570 0.1848  1 B 1.39
O 0.3275 0.5430 0.6848  1 B 1.39
O 0.3275 0.9570 0.6848  1 B 1.39
O 0.3337 0.2500 0.4032  1 B 1.38
O 0.3985 0.7500 0.3894  2 Al 1.84
O 0.6015 0.2500 0.6106  2 Al 1.84
O 0.6663 0.7500 0.5968  1 B 1.38
O 0.6725 0.0430 0.3152  1 B 1.39
O 0.6725 0.4570 0.3152  1 B 1.39
O 0.8275 0.5430 0.8152  1 B 1.39
O 0.8275 0.9570 0.8152  1 B 1.39
O 0.8337 0.2500 0.0968  1 B 1.38
O 0.8985 0.7500 0.1106  2 Al 1.84

Calculated values
SG = Pnma
Raw formation energy = -2.539 eV/atom
N(E_F) = 0.00 states/eV/f.u.

LaMnSi3 | meta-GGA SCAN | PBEsol geometry

Cell lengths 5.3415, 5.3415, 5.3415 Å; angles 90.00, 90.00, 90.00 degrees
Last column: nearest neighbours and their distance in Å.
Element x y z (fractional)
La 0.0000 0.0000 0.0000  6 Si 2.67
Mn 0.5000 0.5000 0.5000  12 Si 3.78
Si 0.0000 0.0000 0.5000  2 La 2.67
Si 0.0000 0.5000 0.0000  2 La 2.67
Si 0.5000 0.0000 0.0000  2 La 2.67

Calculated values
SG = Pm-3m
Raw formation energy = 1.579 eV/atom
N(E_F) = 3.83 states/eV/f.u.

Ag2HgPt | meta-GGA SCAN | PBEsol geometry

Cell lengths 2.9050, 4.0301, 5.7663 Å; angles 90.00, 90.00, 90.00 degrees
Last column: nearest neighbours and their distance in Å.
Element x y z (fractional)
Ag 0.0000 0.0000 0.0000  2 Hg 2.84-2.92, 6 Ag 2.85-2.91, 4 Pt 2.86
Ag 0.5000 0.5000 0.2413  2 Pt 2.82-2.95, 6 Ag 2.85-2.91, 4 Hg 2.92
Hg 0.0000 0.0000 0.5068  6 Ag 2.84-2.92, 4 Pt 2.86, 2 Hg 2.91
Pt 0.5000 0.5000 0.7527  6 Ag 2.82-2.95, 4 Hg 2.86, 2 Pt 2.91

Calculated values
SG = Pmm2
N(E_F) = 0.91 states/eV/f.u.
DFT formation energy = 20.9 meV per atom

Mn3GaCu | meta-GGA SCAN | PBEsol geometry

Cell lengths 4.4170, 4.4170, 4.4170 Å; angles 90.00, 90.00, 90.00 degrees
Last column: nearest neighbours and their distance in Å.
Element x y z (fractional)
Mn 0.0000 0.0000 0.5000  2 Cu 2.21
Mn 0.0000 0.5000 0.0000  2 Cu 2.21
Mn 0.5000 0.0000 0.0000  2 Cu 2.21
Ga 0.5000 0.5000 0.5000  12 Mn 3.12
Cu 0.0000 0.0000 0.0000  6 Mn 2.21

Calculated values
SG = Pm-3m
N(E_F) = 4.54 states/eV/f.u.
DFT formation energy = 520.3 meV per atom

Zn2HgOs | meta-GGA SCAN | PBEsol geometry

Cell lengths 4.9237, 4.9237, 4.7895 Å; angles 98.60, 98.60, 32.35 degrees
Last column: nearest neighbours and their distance in Å.
Element x y z (fractional)
Zn 0.0000 0.0000 0.0000  3 Os 2.67-2.80, 5 Zn 2.74-2.93, 4 Hg 2.75-2.77
Zn 0.2427 0.2427 0.7196  4 Os 2.68-2.84, 3 Hg 2.70-2.85, 5 Zn 2.74-2.93
Hg 0.4868 0.4868 0.4935  7 Zn 2.70-2.85, 2 Hg 2.74, 3 Os 2.90-2.94
Os 0.7368 0.7368 0.1977  7 Zn 2.67-2.84, 2 Os 2.74, 3 Hg 2.90-2.94

Calculated values
SG = Cm
N(E_F) = 1.46 states/eV/f.u.
DFT formation energy = 389.2 meV per atom

LaPPt2 | meta-GGA SCAN | PBEsol geometry

Cell lengths 8.2273, 8.2273, 8.2273 Å; angles 144.96, 144.96, 50.40 degrees
Last column: nearest neighbours and their distance in Å.
Element x y z (fractional)
La 0.0000 0.0000 0.0000  4 Pt 2.94
La 0.7500 0.2500 0.5000  4 Pt 2.94
P 0.2500 0.7500 0.5000  4 Pt 2.31
P 0.5000 0.5000 0.0000  4 Pt 2.31
Pt 0.2608 0.6250 0.1358  2 P 2.31
Pt 0.3750 0.5108 0.6358  2 P 2.31
Pt 0.4892 0.1250 0.8642  2 P 2.31
Pt 0.8750 0.7392 0.3642  2 P 2.31

Calculated values
SG = I-42d
N(E_F) = 0.32 states/eV/f.u.
DFT formation energy = -1132.5 meV per atom

La2Cu | meta-GGA SCAN | PBEsol geometry

Cell lengths 3.7030, 3.7030, 7.0487 Å; angles 90.00, 90.00, 120.00 degrees
Last column: nearest neighbours and their distance in Å.
Element x y z (fractional)
La 0.3333 0.6667 0.2887  3 Cu 2.95
La 0.6667 0.3333 0.7113  3 Cu 2.95
Cu 0.0000 0.0000 0.0000  6 La 2.95

Calculated values
SG = P-3m1
N(E_F) = 2.54 states/eV/f.u.
DFT formation energy = 57.0 meV per atom

YMn3Pb | meta-GGA SCAN | PBEsol geometry

Cell lengths 4.9705, 4.9705, 4.9705 Å; angles 90.00, 90.00, 90.00 degrees
Last column: nearest neighbours and their distance in Å.
Element x y z (fractional)
Y 0.0000 0.0000 0.0000  12 Mn 3.51
Mn 0.0000 0.5000 0.5000  2 Pb 2.49
Mn 0.5000 0.0000 0.5000  2 Pb 2.49
Mn 0.5000 0.5000 0.0000  2 Pb 2.49
Pb 0.5000 0.5000 0.5000  6 Mn 2.49

Calculated values
SG = Pm-3m
Energy relative to the lowest polymorph listed for this composition = 0 meV per atom
N(E_F) = 6.42 states/eV/f.u.
DFT formation energy = 563.4 meV per atom

RbNiN2F | meta-GGA SCAN | PBEsol geometry

Cell lengths 3.5602, 3.5602, 5.7284 Å; angles 90.00, 90.00, 90.00 degrees
Last column: nearest neighbours and their distance in Å.
Element x y z (fractional)
Rb 0.0000 0.0000 0.0000  4 F 2.52
Ni 0.5000 0.5000 0.5000  4 N 1.78
N 0.0000 0.5000 0.5000  2 Ni 1.78
N 0.5000 0.0000 0.5000  2 Ni 1.78
F 0.5000 0.5000 0.0000  4 Rb 2.52

Calculated values
SG = P4/mmm
Raw formation energy = 0.059 eV/atom
N(E_F) = 1.83 states/eV/f.u.

La3NbGa5O14 | meta-GGA SCAN | PBEsol geometry

Cell lengths 8.2089, 8.2089, 5.1942 Å; angles 90.00, 90.00, 120.00 degrees
Last column: nearest neighbours and their distance in Å.
Element x y z (fractional)
La 0.0000 0.4250 0.0000  6 O 2.40-2.63
La 0.4250 0.0000 0.0000  6 O 2.40-2.63
La 0.5750 0.5750 0.0000  6 O 2.40-2.63
Nb 0.0000 0.0000 0.0000  6 O 2.06
Ga 0.0000 0.7571 0.5000  4 O 1.86-1.87
Ga 0.2429 0.2429 0.5000  4 O 1.86-1.87
Ga 0.3333 0.6667 0.4686  4 O 1.81-1.86
Ga 0.6667 0.3333 0.5314  4 O 1.81-1.86
Ga 0.7571 0.0000 0.5000  4 O 1.86-1.87
O 0.0751 0.2234 0.7557  1 Ga 1.86, 1 Nb 2.06
O 0.1442 0.6862 0.2996  2 Ga 1.86-1.87
O 0.1483 0.9249 0.7557  1 Ga 1.86, 1 Nb 2.06
O 0.2234 0.0751 0.2443  1 Ga 1.86, 1 Nb 2.06
O 0.3138 0.4580 0.2996  2 Ga 1.86-1.87
O 0.3333 0.6667 0.8177  1 Ga 1.81
O 0.4580 0.3138 0.7004  2 Ga 1.86-1.87
O 0.5420 0.8558 0.2996  2 Ga 1.86-1.87
O 0.6667 0.3333 0.1823  1 Ga 1.81
O 0.6862 0.1442 0.7004  2 Ga 1.86-1.87
O 0.7766 0.8517 0.7557  1 Ga 1.86, 1 Nb 2.06
O 0.8517 0.7766 0.2443  1 Ga 1.86, 1 Nb 2.06
O 0.8558 0.5420 0.7004  2 Ga 1.86-1.87
O 0.9249 0.1483 0.2443  1 Ga 1.86, 1 Nb 2.06

Calculated values
SG = P321
Raw formation energy = -2.730 eV/atom
N(E_F) = 3.45 states/eV/f.u.

Nb6Sn5 | meta-GGA SCAN | PBEsol geometry

Cell lengths 9.9548, 9.9548, 9.9548 Å; angles 147.19, 125.02, 65.52 degrees
Last column: nearest neighbours and their distance in Å.
Element x y z (fractional)
Nb 0.0000 0.0000 0.5000  6 Sn 2.80-3.02, 4 Nb 2.81-3.12
Nb 0.0000 0.5000 0.0000  6 Sn 2.80-3.02, 4 Nb 2.81-3.12
Nb 0.1445 0.4157 0.7288  3 Nb 2.82-3.12, 6 Sn 2.86-2.92
Nb 0.1543 0.1543 0.0000  7 Sn 2.93-2.98, 4 Nb 3.13
Nb 0.3132 0.5843 0.7288  3 Nb 2.82-3.12, 6 Sn 2.86-2.92
Nb 0.5000 0.0000 0.0000  6 Sn 2.80-3.02, 4 Nb 2.81-3.12
Nb 0.5000 0.2605 0.7605  2 Nb 2.69-2.93, 4 Sn 2.88
Nb 0.5000 0.5000 0.5000  6 Sn 2.80-3.02, 4 Nb 2.81-3.12
Nb 0.5000 0.7395 0.2395  2 Nb 2.69-2.93, 4 Sn 2.88
Nb 0.6868 0.4157 0.2712  3 Nb 2.82-3.12, 6 Sn 2.86-2.92
Nb 0.8457 0.8457 0.0000  7 Sn 2.93-2.98, 4 Nb 3.13
Nb 0.8555 0.5843 0.2712  3 Nb 2.82-3.12, 6 Sn 2.86-2.92
Sn 0.0000 0.2444 0.2444  2 Sn 2.75-2.87, 6 Nb 2.91-2.93
Sn 0.0000 0.7556 0.7556  2 Sn 2.75-2.87, 6 Nb 2.91-2.93
Sn 0.2030 0.8965 0.3065  7 Nb 2.87-2.94
Sn 0.2051 0.7051 0.5000  8 Nb 2.80-2.94
Sn 0.3321 0.3321 0.0000  9 Nb 2.86-3.12
Sn 0.4101 0.1035 0.3065  7 Nb 2.87-2.94
Sn 0.5899 0.8965 0.6935  7 Nb 2.87-2.94
Sn 0.6679 0.6679 0.0000  9 Nb 2.86-3.12
Sn 0.7949 0.2949 0.5000  8 Nb 2.80-2.94
Sn 0.7970 0.1035 0.6935  7 Nb 2.87-2.94

Calculated values
SG = Immm
N(E_F) = 5.38 states/eV/f.u.
DFT formation energy = -230.6 meV per atom

ZrPdOF2 | meta-GGA SCAN | PBEsol geometry

Cell lengths 4.1694, 4.1694, 4.0228 Å; angles 90.00, 90.00, 90.00 degrees
Last column: nearest neighbours and their distance in Å.
Element x y z (fractional)
Zr 0.0000 0.0000 0.0000  2 O 2.01, 4 F 2.08
Pd 0.5000 0.5000 0.5000  8 F 2.90, 4 O 2.95
O 0.0000 0.0000 0.5000  2 Zr 2.01
F 0.0000 0.5000 0.0000  2 Zr 2.08
F 0.5000 0.0000 0.0000  2 Zr 2.08

Calculated values
SG = P4/mmm
Raw formation energy = -2.411 eV/atom
N(E_F) = 1.46 states/eV/f.u.